Record 1
# Fe2CuW

A geometry-optimized Fe2CuW structure (GGA-PBE, Alexandria).

abc: 4.1704 4.1704 4.1704
angles: 60.00 60.00 60.00
Each line ends with the local moment (μB).
Fractional positions:
Cu: 0.5000 0.5000 0.5000  0.04
Fe: 0.0000 0.0000 0.0000  1.87
Fe: 0.2500 0.2500 0.2500  2.56
W: 0.7500 0.7500 0.7500  -0.24

Calculated values
* energy relative to the elements: 289 meV/atom
* crystal system: cubic
* volume: 51.3 Å³/cell
* total DFT energy (no corrections): -8.205 eV/atom
* magnetic moment: 1.05 μB per atom
* density of states at the Fermi level: 4.14 states/eV per cell



Record 2
# CdNiPt

A geometry-optimized CdNiPt structure (GGA-PBE, Alexandria).

abc: 5.9058 5.9060 2.8894
angles: 75.84 75.84 28.32
Fractional positions:
Cd: 0.9934 0.9934 0.0066
Ni: 0.3261 0.3260 0.6739
Pt: 0.6805 0.6805 0.3195

Calculated values
* energy relative to the elements: -88 meV/atom
* crystal system: tetragonal
* volume: 46.3 Å³/cell
* total DFT energy (no corrections): -4.334 eV/atom
* magnetic moment: 0.00 μB per atom
* density of states at the Fermi level: 3.49 states/eV per cell



Record 3
# Tm8Te4Se3S

A geometry-optimized Tm8Te4Se3S structure (GGA-PBE, Alexandria).

abc: 8.2440 8.3393 8.2402
angles: 119.58 120.02 90.00
Fractional positions:
Tm: 0.2276 0.7079 0.9803
Tm: 0.2276 0.7079 0.4553
Tm: 0.2621 0.2865 0.5242
Tm: 0.7527 0.7079 0.9803
Tm: 0.2473 0.2921 0.0197
Tm: 0.7379 0.7135 0.4758
Tm: 0.7724 0.2921 0.5447
Tm: 0.7724 0.2921 0.0197
Te: 0.5000 0.0000 0.0000
Te: 0.5000 0.0000 0.5000
Te: 0.0000 0.0000 0.0000
Te: 0.0000 0.0000 0.5000
Se: 0.5000 0.5000 0.0000
Se: 0.5000 0.5000 0.5000
Se: 0.0000 0.5000 0.5000
S: 0.0000 0.5000 0.0000

Calculated values
* crystal system: trigonal
* volume: 403.0 Å³/cell
* energy relative to the elements, uncorrected: -1.471 eV/atom
* total DFT energy (no corrections): -5.403 eV/atom
* magnetic moment: 0.00 μB per atom
* density of states at the Fermi level: 5.19 states/eV per cell



Record 4
# In2Ag17

A geometry-optimized In2Ag17 structure (GGA-PBE, Alexandria).

abc: 7.3094 7.3094 7.3094
angles: 82.30 82.30 82.30
Fractional positions:
In: 0.6427 0.6427 0.6427
In: 0.3573 0.3573 0.3573
Ag: 0.3471 0.3471 0.8430
Ag: 0.3471 0.8430 0.3471
Ag: 0.0996 0.0996 0.0996
Ag: 0.9004 0.9004 0.9004
Ag: 0.0000 0.0000 0.5000
Ag: 0.5000 0.0000 0.0000
Ag: 0.0000 0.5000 0.0000
Ag: 0.3076 0.6924 0.0000
Ag: 0.0000 0.3076 0.6924
Ag: 0.6924 0.0000 0.3076
Ag: 0.6924 0.3076 0.0000
Ag: 0.0000 0.6924 0.3076
Ag: 0.3076 0.0000 0.6924
Ag: 0.6529 0.1570 0.6529
Ag: 0.6529 0.6529 0.1570
Ag: 0.1570 0.6529 0.6529
Ag: 0.8430 0.3471 0.3471

Calculated values
* energy relative to the elements: 115 meV/atom
* crystal system: trigonal
* volume: 380.8 Å³/cell
* total DFT energy (no corrections): -2.725 eV/atom
* magnetic moment: 0.00 μB per atom
* density of states at the Fermi level: 7.63 states/eV per cell